Computed, not measured: a geometry-optimized Zr2TaPb structure at the PBE level of DFT. Values from VASP.

```
&SYSTEM
  ibrav = 0, nat = 4, ntyp = 3
/
ATOMIC_SPECIES
Pb 207.20 Pb.upf
Ta 180.95 Ta.upf
Zr 91.22 Zr.upf
CELL_PARAMETERS angstrom
5.6451 0.0003 0.0000
2.3738 5.1217 0.0000
-4.0095 -2.5610 3.0385
ATOMIC_POSITIONS crystal
Pb 0.5000 0.5000 0.0000
Ta 0.7500 0.2500 0.5000
Zr 0.0000 0.0000 0.0000
Zr 0.2500 0.7500 0.5000
```

## Properties
mass density	10.79	Mg/m³
energy of formation	35	kJ/mol of formula units

***

Computed, not measured: a geometry-optimized ZrTaPb2 structure at the PBE level of DFT. Values from VASP.

```
&SYSTEM
  ibrav = 0, nat = 4, ntyp = 3
/
ATOMIC_SPECIES
Pb 207.20 Pb.upf
Ta 180.95 Ta.upf
Zr 91.22 Zr.upf
CELL_PARAMETERS angstrom
5.0719 0.0000 0.0000
0.0000 3.2144 -0.0001
0.0000 1.5380 5.7743
ATOMIC_POSITIONS crystal
Pb 0.0000 0.0065 0.9584
Pb 0.5000 0.2800 0.2956
Ta 0.0000 0.5527 0.4865
Zr 0.5000 0.6607 0.7595
```

## Properties
energy above the lowest structure with this stoichiometry	0.1069	eV per atom
mass density	12.11	Mg/m³
energy of formation	115	kJ/mol of formula units

***

Computed, not measured: a geometry-optimized ZrTaPb2 structure at the PBE level of DFT. Values from VASP.

```
&SYSTEM
  ibrav = 0, nat = 4, ntyp = 3
/
ATOMIC_SPECIES
Pb 207.20 Pb.upf
Ta 180.95 Ta.upf
Zr 91.22 Zr.upf
CELL_PARAMETERS angstrom
-3.9731 -3.6258 -1.8907
1.3708 -2.0701 -5.1325
1.9087 0.2852 5.3649
ATOMIC_POSITIONS crystal
Pb 0.9937 0.9937 0.0000
Pb 0.5063 0.5063 0.0000
Ta 0.7500 0.2500 0.5000
Zr 0.2500 0.7500 0.5000
```

## Properties
energy above the lowest structure with this stoichiometry	0.0987	eV per atom
mass density	12.35	Mg/m³
energy of formation	112	kJ/mol of formula units

***

Computed, not measured: a geometry-optimized ZrTaPb2 structure at the PBE level of DFT. Values from VASP.

```
&SYSTEM
  ibrav = 0, nat = 4, ntyp = 3
/
ATOMIC_SPECIES
Pb 207.20 Pb.upf
Ta 180.95 Ta.upf
Zr 91.22 Zr.upf
CELL_PARAMETERS angstrom
-1.7797 1.2958 4.1738
1.3460 -4.1250 1.8546
3.5980 1.6355 1.0264
ATOMIC_POSITIONS crystal
Pb 0.0000 0.0000 0.0000
Pb 0.5000 0.5000 0.0000
Ta 0.5000 0.0000 0.5000
Zr 0.0000 0.5000 0.5000
```

## Properties
energy above the lowest structure with this stoichiometry	0.1844	eV per atom
mass density	12.54	Mg/m³
energy of formation	145	kJ/mol of formula units

***

Computed, not measured: a geometry-optimized Zr2TaPb structure at the PBE level of DFT. Values from VASP.

```
&SYSTEM
  ibrav = 0, nat = 4, ntyp = 3
/
ATOMIC_SPECIES
Pb 207.20 Pb.upf
Ta 180.95 Ta.upf
Zr 91.22 Zr.upf
CELL_PARAMETERS angstrom
5.5703 0.0174 -0.0521
2.0985 5.1599 0.0521
-3.4740 -3.1225 3.0352
ATOMIC_POSITIONS crystal
Pb 0.7500 0.2500 0.5000
Ta 0.2500 0.7500 0.5000
Zr 0.0088 0.0088 0.0000
Zr 0.4912 0.4912 0.0000
```

## Properties
mass density	10.84	Mg/m³
energy of formation	41	kJ/mol of formula units

***

Computed, not measured: a geometry-optimized ZrTaPb2 structure at the PBE level of DFT. Values from VASP.

```
&SYSTEM
  ibrav = 0, nat = 4, ntyp = 3
/
ATOMIC_SPECIES
Pb 207.20 Pb.upf
Zr 91.22 Zr.upf
Ta 180.95 Ta.upf
CELL_PARAMETERS angstrom
2.4183 -2.8740 3.3466
-1.8058 -4.5437 1.1840
2.4162 -4.1418 -1.5217
ATOMIC_POSITIONS crystal
Pb 0.2500 0.2500 0.2500
Pb 0.7500 0.7500 0.7500
Zr 0.0000 0.0000 0.0000
Ta 0.5000 0.5000 0.5000
```

## Properties
energy above the lowest structure with this stoichiometry	0.2010	eV per atom
mass density	12.66	Mg/m³
energy of formation	151	kJ/mol of formula units

***

Computed, not measured: a geometry-optimized ZrTa2Pb structure at the PBE level of DFT. Values from VASP.

```
&SYSTEM
  ibrav = 0, nat = 4, ntyp = 3
/
ATOMIC_SPECIES
Pb 207.20 Pb.upf
Ta 180.95 Ta.upf
Zr 91.22 Zr.upf
CELL_PARAMETERS angstrom
-1.5476 1.5592 2.1387
-0.8743 -2.9379 0.0675
6.8449 -1.8916 6.3322
ATOMIC_POSITIONS crystal
Pb 0.5000 0.5000 0.7500
Ta 0.0000 0.0000 0.0044
Ta 0.0000 0.0000 0.4956
Zr 0.5000 0.5000 0.2500
```

## Properties
mass density	12.98	Mg/m³
energy of formation	136	kJ/mol of formula units

***

Computed, not measured: a geometry-optimized ZrTa2Pb structure at the PBE level of DFT. Values from VASP.

```
&SYSTEM
  ibrav = 0, nat = 4, ntyp = 3
/
ATOMIC_SPECIES
Pb 207.20 Pb.upf
Ta 180.95 Ta.upf
Zr 91.22 Zr.upf
CELL_PARAMETERS angstrom
3.0201 0.0000 0.0000
0.0000 3.0201 0.0000
0.0000 0.0000 9.3786
ATOMIC_POSITIONS crystal
Pb 0.5000 0.5000 0.7604
Ta 0.0000 0.0000 0.0112
Ta 0.5000 0.5000 0.2464
Zr 0.0000 0.0000 0.4820
```

## Properties
mass density	12.82	Mg/m³
energy of formation	113	kJ/mol of formula units

***

Computed, not measured: a geometry-optimized ZrTa2Pb structure at the PBE level of DFT. Values from VASP.

```
&SYSTEM
  ibrav = 0, nat = 4, ntyp = 3
/
ATOMIC_SPECIES
Pb 207.20 Pb.upf
Ta 180.95 Ta.upf
Zr 91.22 Zr.upf
CELL_PARAMETERS angstrom
-7.1976 -6.9080 0.9369
-4.8521 -8.7662 -0.1284
-5.0764 -8.1119 2.9717
ATOMIC_POSITIONS crystal
Pb 0.7500 0.7500 0.7500
Ta 0.9987 0.9987 0.9987
Ta 0.5013 0.5013 0.5013
Zr 0.2500 0.2500 0.2500
```

## Properties
mass density	12.74	Mg/m³
energy of formation	175	kJ/mol of formula units

***

Computed, not measured: a geometry-optimized Zr2TaPb structure at the PBE level of DFT. Values from VASP.

```
&SYSTEM
  ibrav = 0, nat = 4, ntyp = 3
/
ATOMIC_SPECIES
Pb 207.20 Pb.upf
Ta 180.95 Ta.upf
Zr 91.22 Zr.upf
CELL_PARAMETERS angstrom
3.1730 0.0000 0.0000
0.0000 5.5256 -0.0165
0.0000 3.6078 5.0166
ATOMIC_POSITIONS crystal
Pb 0.5000 0.5000 0.5000
Ta 0.0000 0.0000 0.5000
Zr 0.0000 0.0000 0.0000
Zr 0.5000 0.5000 0.0000
```

## Properties
mass density	10.75	Mg/m³
energy of formation	56	kJ/mol of formula units

***

Computed, not measured: a geometry-optimized ZrTa2Pb structure at the PBE level of DFT. Values from VASP.

```
&SYSTEM
  ibrav = 0, nat = 4, ntyp = 3
/
ATOMIC_SPECIES
Pb 207.20 Pb.upf
Ta 180.95 Ta.upf
Zr 91.22 Zr.upf
CELL_PARAMETERS angstrom
-2.7931 3.6848 -3.1100
-0.2579 -1.3169 -5.4084
-1.2815 -2.0248 5.0308
ATOMIC_POSITIONS crystal
Pb 0.7557 0.2557 0.5000
Ta 0.0145 0.0145 0.0000
Ta 0.2392 0.7392 0.5000
Zr 0.4906 0.4906 0.0000
```

## Properties
mass density	13.21	Mg/m³
energy of formation	75	kJ/mol of formula units

***

Computed, not measured: a geometry-optimized TbPb6 structure at the PBE level of DFT. Values from VASP.

```
&SYSTEM
  ibrav = 0, nat = 7, ntyp = 2
/
ATOMIC_SPECIES
Tb 158.93 Tb.upf
Pb 207.20 Pb.upf
CELL_PARAMETERS angstrom
7.3799 0.0000 0.0000
-2.4600 6.9578 0.0000
-2.4600 -3.4789 6.0256
ATOMIC_POSITIONS crystal
Tb 0.0000 0.0000 0.0000
Pb 0.2500 0.7500 0.5000
Pb 0.5000 0.7500 0.2500
Pb 0.2500 0.5000 0.7500
Pb 0.7500 0.2500 0.5000
Pb 0.5000 0.2500 0.7500
Pb 0.7500 0.5000 0.2500
```

## Properties
mass density	7.53	Mg/m³
energy of formation	435	kJ/mol of formula units

***

Computed, not measured: a geometry-optimized TbPb5 structure at the PBE level of DFT. Values from VASP.

```
&SYSTEM
  ibrav = 0, nat = 6, ntyp = 2
/
ATOMIC_SPECIES
Pb 207.20 Pb.upf
Tb 158.93 Tb.upf
CELL_PARAMETERS angstrom
-0.5303 -3.7398 -2.7909
-0.2849 -2.8585 3.8845
-7.7550 2.4311 -1.7843
ATOMIC_POSITIONS crystal
Pb 0.0000 0.6572 0.3144
Pb 0.0000 0.3428 0.6856
Pb 0.5000 0.5000 0.0000
Pb 0.5000 0.1678 0.3357
Pb 0.5000 0.8322 0.6643
Tb 0.0000 0.0000 0.0000
```

## Properties
energy above the lowest structure with this stoichiometry	0.0000	eV per atom
mass density	10.98	Mg/m³
energy of formation	-90	kJ/mol of formula units

***

Computed, not measured: a geometry-optimized TbPb3 structure at the PBE level of DFT. Values from VASP.

```
&SYSTEM
  ibrav = 0, nat = 4, ntyp = 2
/
ATOMIC_SPECIES
Pb 207.20 Pb.upf
Tb 158.93 Tb.upf
CELL_PARAMETERS angstrom
-1.2307 0.0841 -5.4396
-2.5394 -4.3734 -2.3528
-5.3113 0.4157 -1.6515
ATOMIC_POSITIONS crystal
Pb 0.0000 0.0000 0.0000
Pb 0.7500 0.7500 0.7500
Pb 0.2500 0.2500 0.2500
Tb 0.5000 0.5000 0.5000
```

## Properties
mass density	10.56	Mg/m³
energy of formation	-47	kJ/mol of formula units

***

Computed, not measured: a geometry-optimized Tb4Pb3 structure at the PBE level of DFT. Values from VASP.

```
&SYSTEM
  ibrav = 0, nat = 14, ntyp = 2
/
ATOMIC_SPECIES
Tb 158.93 Tb.upf
Pb 207.20 Pb.upf
CELL_PARAMETERS angstrom
7.7088 0.0000 -2.7255
-3.8544 6.6760 -2.7255
0.0000 0.0000 8.1764
ATOMIC_POSITIONS crystal
Tb 0.3600 0.5000 0.0000
Tb 0.5000 0.3600 0.5000
Tb 0.0000 0.0000 0.3600
Tb 0.6400 0.1400 0.1400
Tb 0.0000 0.0000 0.8600
Tb 0.1400 0.6400 0.6400
Tb 0.8600 0.5000 0.0000
Tb 0.5000 0.8600 0.5000
Pb 0.1250 0.3750 0.2500
Pb 0.6250 0.7500 0.8750
Pb 0.8750 0.2500 0.6250
Pb 0.2500 0.8750 0.1250
Pb 0.7500 0.6250 0.3750
Pb 0.3750 0.1250 0.7500
```

## Properties
mass density	9.92	Mg/m³
energy of formation	-372	kJ/mol of formula units

***

Computed, not measured: a geometry-optimized Tb5Pb structure at the PBE level of DFT. Values from VASP.

```
&SYSTEM
  ibrav = 0, nat = 6, ntyp = 2
/
ATOMIC_SPECIES
Pb 207.20 Pb.upf
Tb 158.93 Tb.upf
CELL_PARAMETERS angstrom
4.9162 0.0000 0.0000
0.0000 4.8835 0.0000
0.0000 -2.4417 7.5753
ATOMIC_POSITIONS crystal
Pb 0.0000 0.0000 0.0000
Tb 0.5000 0.8318 0.6636
Tb 0.0000 0.6634 0.3267
Tb 0.5000 0.5000 0.0000
Tb 0.0000 0.3366 0.6733
Tb 0.5000 0.1682 0.3364
```

## Properties
mass density	9.15	Mg/m³
energy of formation	-110	kJ/mol of formula units

***

Computed, not measured: a geometry-optimized Tb5Pb3 structure at the PBE level of DFT. Values from VASP.

```
&SYSTEM
  ibrav = 0, nat = 16, ntyp = 2
/
ATOMIC_SPECIES
Pb 207.20 Pb.upf
Tb 158.93 Tb.upf
CELL_PARAMETERS angstrom
9.1067 0.0000 0.0000
-4.5534 7.8866 0.0000
0.0000 0.0000 6.6668
ATOMIC_POSITIONS crystal
Pb 0.6054 0.0000 0.2500
Pb 0.0000 0.6054 0.2500
Pb 0.3946 0.3946 0.2500
Pb 0.3946 0.0000 0.7500
Pb 0.0000 0.3946 0.7500
Pb 0.6054 0.6054 0.7500
Tb 0.3333 0.6667 0.0000
Tb 0.6667 0.3333 0.5000
Tb 0.6667 0.3333 0.0000
Tb 0.3333 0.6667 0.5000
Tb 0.2368 0.0000 0.2500
Tb 0.0000 0.2368 0.2500
Tb 0.7632 0.7632 0.2500
Tb 0.7632 0.0000 0.7500
Tb 0.0000 0.7632 0.7500
Tb 0.2368 0.2368 0.7500
```

## Properties
mass density	9.82	Mg/m³
energy of formation	-422	kJ/mol of formula units

***

Computed, not measured: a geometry-optimized TbPb5 structure at the PBE level of DFT. Values from VASP.

```
&SYSTEM
  ibrav = 0, nat = 6, ntyp = 2
/
ATOMIC_SPECIES
Tb 158.93 Tb.upf
Pb 207.20 Pb.upf
CELL_PARAMETERS angstrom
5.4712 0.0001 -1.9040
0.0001 5.7201 0.0000
-0.9165 0.0000 6.1794
ATOMIC_POSITIONS crystal
Tb 0.9722 0.0000 0.9444
Pb 0.8165 0.5000 0.6331
Pb 0.6505 0.0000 0.3011
Pb 0.4722 0.5000 0.9445
Pb 0.2939 0.0000 0.5878
Pb 0.1279 0.5000 0.2558
```

## Properties
energy above the lowest structure with this stoichiometry	0.0553	eV per atom
mass density	10.82	Mg/m³
energy of formation	-58	kJ/mol of formula units

***

Computed, not measured: a geometry-optimized Tb3Pb structure at the PBE level of DFT. Values from VASP.

```
&SYSTEM
  ibrav = 0, nat = 4, ntyp = 2
/
ATOMIC_SPECIES
Pb 207.20 Pb.upf
Tb 158.93 Tb.upf
CELL_PARAMETERS angstrom
6.2128 -0.0080 0.0000
2.6058 5.6400 0.0000
-4.4093 -2.8160 3.3508
ATOMIC_POSITIONS crystal
Pb 0.0000 0.0000 0.0000
Tb 0.7500 0.2500 0.5000
Tb 0.2500 0.7500 0.5000
Tb 0.5000 0.5000 0.0000
```

## Properties
mass density	9.67	Mg/m³
energy of formation	-105	kJ/mol of formula units

***

Computed, not measured: a geometry-optimized Tb5Pb2 structure at the PBE level of DFT. Values from VASP.

```
&SYSTEM
  ibrav = 0, nat = 14, ntyp = 2
/
ATOMIC_SPECIES
Tb 158.93 Tb.upf
Pb 207.20 Pb.upf
CELL_PARAMETERS angstrom
-1.9807 2.3456 3.4521
-3.8505 -2.4759 -0.5270
7.8738 -14.6704 11.3944
ATOMIC_POSITIONS crystal
Tb 0.9650 0.2500 0.9300
Tb 0.0350 0.7500 0.0700
Tb 0.5356 0.2500 0.0711
Tb 0.4644 0.7500 0.9289
Tb 0.7500 0.2500 0.5000
Tb 0.2500 0.7500 0.5000
Tb 0.1762 0.2500 0.3525
Tb 0.8238 0.7500 0.6475
Tb 0.3905 0.2500 0.7810
Tb 0.6095 0.7500 0.2190
Pb 0.0967 0.2500 0.1934
Pb 0.9033 0.7500 0.8066
Pb 0.3107 0.2500 0.6215
Pb 0.6893 0.7500 0.3785
```

## Properties
mass density	9.41	Mg/m³
energy of formation	-229	kJ/mol of formula units

***

Computed, not measured: a geometry-optimized TbPb3 structure at the PBE level of DFT. Values from VASP.

```
&SYSTEM
  ibrav = 0, nat = 4, ntyp = 2
/
ATOMIC_SPECIES
Pb 207.20 Pb.upf
Tb 158.93 Tb.upf
CELL_PARAMETERS angstrom
4.6448 0.0000 0.0000
0.0000 4.6448 0.0000
-2.3224 -2.3224 5.4441
ATOMIC_POSITIONS crystal
Pb 0.7500 0.2500 0.5000
Pb 0.2500 0.7500 0.5000
Pb 0.5000 0.5000 0.0000
Tb 0.0000 0.0000 0.0000
```

## Properties
mass density	11.04	Mg/m³
energy of formation	-101	kJ/mol of formula units

***

Computed, not measured: a geometry-optimized Tb3Pb structure at the PBE level of DFT. Values from VASP.

```
&SYSTEM
  ibrav = 0, nat = 4, ntyp = 2
/
ATOMIC_SPECIES
Pb 207.20 Pb.upf
Tb 158.93 Tb.upf
CELL_PARAMETERS angstrom
3.5992 0.0000 0.0000
0.0000 5.9514 0.0000
-1.7996 -2.9757 5.6029
ATOMIC_POSITIONS crystal
Pb 0.0000 0.0079 0.0000
Tb 0.2682 0.6094 0.5365
Tb 0.5000 0.4766 0.0000
Tb 0.7318 0.0729 0.4635
```

## Properties
mass density	9.46	Mg/m³
energy of formation	-97	kJ/mol of formula units

***

Computed, not measured: a geometry-optimized TbPb3 structure at the PBE level of DFT. Values from VASP.

```
&SYSTEM
  ibrav = 0, nat = 4, ntyp = 2
/
ATOMIC_SPECIES
Pb 207.20 Pb.upf
Tb 158.93 Tb.upf
CELL_PARAMETERS angstrom
3.5989 0.0000 0.0000
0.0000 5.7659 0.0000
-1.7994 -2.8829 5.6829
ATOMIC_POSITIONS crystal
Pb 0.2518 0.5946 0.5036
Pb 0.5000 0.4849 0.0000
Pb 0.7482 0.0910 0.4964
Tb 0.0000 0.9962 0.0000
```

## Properties
mass density	10.99	Mg/m³
energy of formation	-89	kJ/mol of formula units

***

Computed, not measured: a geometry-optimized TbPb3 structure at the PBE level of DFT. Values from VASP.

```
&SYSTEM
  ibrav = 0, nat = 4, ntyp = 2
/
ATOMIC_SPECIES
Pb 207.20 Pb.upf
Tb 158.93 Tb.upf
CELL_PARAMETERS angstrom
4.8807 0.0000 0.0000
0.0000 4.8859 0.0000
0.0000 0.0000 4.8849
ATOMIC_POSITIONS crystal
Pb 0.0000 0.0000 0.0834
Pb 0.0000 0.5000 0.5834
Pb 0.5000 0.5000 0.0833
Tb 0.5000 0.0000 0.5833
```

## Properties
mass density	11.13	Mg/m³
energy of formation	-114	kJ/mol of formula units

***

Computed, not measured: a geometry-optimized TbPb4 structure at the PBE level of DFT. Values from VASP.

```
&SYSTEM
  ibrav = 0, nat = 5, ntyp = 2
/
ATOMIC_SPECIES
Pb 207.20 Pb.upf
Tb 158.93 Tb.upf
CELL_PARAMETERS angstrom
5.8634 0.0000 0.0000
0.0000 5.8634 0.0000
0.0000 0.0000 5.8634
ATOMIC_POSITIONS crystal
Pb 0.0000 0.0000 0.0000
Pb 0.5000 0.0000 0.5000
Pb 0.0000 0.5000 0.5000
Pb 0.5000 0.5000 0.0000
Tb 0.5000 0.5000 0.5000
```

## Properties
mass density	8.14	Mg/m³
energy of formation	205	kJ/mol of formula units

***

Computed, not measured: a geometry-optimized Tb3Pb4 structure at the PBE level of DFT. Values from VASP.

```
&SYSTEM
  ibrav = 0, nat = 14, ntyp = 2
/
ATOMIC_SPECIES
Tb 158.93 Tb.upf
Pb 207.20 Pb.upf
CELL_PARAMETERS angstrom
4.4621 0.0020 0.0000
-2.2284 5.8478 -0.0001
0.0000 -0.0008 15.9849
ATOMIC_POSITIONS crystal
Tb 0.6607 0.3213 0.0978
Tb 0.3419 0.6839 0.9028
Tb 0.6604 0.3205 0.4028
Tb 0.3416 0.6835 0.5979
Tb 0.9225 0.8451 0.2504
Tb 0.0798 0.1595 0.7504
Pb 0.1854 0.3716 0.2503
Pb 0.8168 0.6330 0.7503
Pb 0.3676 0.7349 0.1093
Pb 0.0013 0.0026 0.0003
Pb 0.3672 0.7341 0.3915
Pb 0.6350 0.2703 0.8914
Pb 0.0010 0.0021 0.5003
Pb 0.6348 0.2698 0.6092
```

## Properties
mass density	10.39	Mg/m³
energy of formation	-288	kJ/mol of formula units